# PmSmMgZn, optimized geometry, DFT PBE-GGA
# Distance to the lowest polymorph of the same formula (meV/atom): 0
data_PmSmMgZn
_chemical_formula_sum 'Pm1 Sm1 Mg1 Zn1'
_symmetry_space_group_name_H-M 'P 4 m m'
_symmetry_Int_Tables_number 99
_symmetry_space_group_name_Hall 'P 4 -2'
_cell_length_a 3.7006
_cell_length_b 3.7006
_cell_length_c 7.7366
_cell_angle_alpha 90.00
_cell_angle_beta 90.00
_cell_angle_gamma 90.00
loop_
_atom_site_label
_atom_site_type_symbol
_atom_site_fract_x
_atom_site_fract_y
_atom_site_fract_z
Pm1 Pm 0.0000 0.0000 0.0000
Sm1 Sm 0.0000 0.0000 0.4514
Mg1 Mg 0.5000 0.5000 0.7241
Zn1 Zn 0.5000 0.5000 0.2286

## Pm2MgSn6 (PBE-GGA)

Data for an optimized crystal structure of Pm2MgSn6.

Structure (CIF):
```
data_Pm2MgSn6
_chemical_formula_sum 'Pm4 Mg2 Sn12'
_symmetry_space_group_name_H-M 'C 1 m 1'
_symmetry_Int_Tables_number 8
_symmetry_space_group_name_Hall 'C -2y'
_cell_length_a 15.6170
_cell_length_b 8.8734
_cell_length_c 4.4329
_cell_angle_alpha 90.00
_cell_angle_beta 106.42
_cell_angle_gamma 90.00
loop_
_atom_site_label
_atom_site_type_symbol
_atom_site_fract_x
_atom_site_fract_y
_atom_site_fract_z
Pm1 Pm 0.0000 0.0000 0.0000
Pm2 Pm 0.2394 0.5000 0.7371
Mg1 Mg 0.3697 0.0000 0.3772
Sn1 Sn 0.0583 0.2897 0.5572
Sn2 Sn 0.1808 0.2107 0.1788
Sn3 Sn 0.3697 0.3213 0.3680
```

## Pm5MgSn3 (PBE-GGA)

Data for an optimized crystal structure of Pm5MgSn3.

Structure (CIF):
```
data_Pm5MgSn3
_chemical_formula_sum 'Pm10 Mg2 Sn6'
_symmetry_space_group_name_H-M 'P 63/m c m'
_symmetry_Int_Tables_number 193
_symmetry_space_group_name_Hall '-P 6c 2'
_cell_length_a 9.5449
_cell_length_b 9.5449
_cell_length_c 6.6221
_cell_angle_alpha 90.00
_cell_angle_beta 90.00
_cell_angle_gamma 120.00
loop_
_atom_site_label
_atom_site_type_symbol
_atom_site_fract_x
_atom_site_fract_y
_atom_site_fract_z
Pm1 Pm 0.0000 0.2944 0.2500
Pm2 Pm 0.3333 0.6667 0.0000
Mg1 Mg 0.0000 0.0000 0.0000
Sn1 Sn 0.0000 0.3638 0.7500
```

# PmMg2Sn, optimized geometry, DFT PBE-GGA
# Distance to the lowest polymorph of the same formula (meV/atom): 0
data_PmMg2Sn
_chemical_formula_sum 'Pm1 Mg2 Sn1'
_symmetry_space_group_name_H-M 'P 4/m m m'
_symmetry_Int_Tables_number 123
_symmetry_space_group_name_Hall '-P 4 2'
_cell_length_a 4.5736
_cell_length_b 4.5736
_cell_length_c 4.8222
_cell_angle_alpha 90.00
_cell_angle_beta 90.00
_cell_angle_gamma 90.00
loop_
_atom_site_label
_atom_site_type_symbol
_atom_site_fract_x
_atom_site_fract_y
_atom_site_fract_z
Pm1 Pm 0.0000 0.0000 0.0000
Mg1 Mg 0.0000 0.5000 0.5000
Sn1 Sn 0.5000 0.5000 0.0000

# PmMgSn4, optimized geometry, DFT PBE-GGA
# Distance to the lowest polymorph of the same formula (meV/atom): 69
data_PmMgSn4
_chemical_formula_sum 'Pm4 Mg4 Sn16'
_symmetry_space_group_name_H-M 'F -4 3 m'
_symmetry_Int_Tables_number 216
_symmetry_space_group_name_Hall 'F -4 2 3'
_cell_length_a 8.7409
_cell_length_b 8.7409
_cell_length_c 8.7409
_cell_angle_alpha 90.00
_cell_angle_beta 90.00
_cell_angle_gamma 90.00
loop_
_atom_site_label
_atom_site_type_symbol
_atom_site_fract_x
_atom_site_fract_y
_atom_site_fract_z
Pm1 Pm 0.0000 0.0000 0.0000
Mg1 Mg 0.2500 0.2500 0.2500
Sn1 Sn 0.1249 0.1249 0.6249

# PmMgSn, optimized geometry, DFT PBE-GGA
# Distance to the lowest polymorph of the same formula (meV/atom): 301
data_PmMgSn
_chemical_formula_sum 'Pm16 Mg16 Sn16'
_symmetry_space_group_name_H-M 'F d d d'
_symmetry_Int_Tables_number 70
_cell_length_a 8.6730
_cell_length_b 11.3909
_cell_length_c 13.9882
_cell_angle_alpha 90.00
_cell_angle_beta 90.00
_cell_angle_gamma 90.00
loop_
_symmetry_equiv_pos_as_xyz
'x,y,z'
'-x,-y,-z'
'-x+1/4,-y+1/4,z'
'x+1/4,y+1/4,-z'
'x,-y+1/4,-z+1/4'
'-x,y+1/4,z+1/4'
'-x+1/4,y,-z+1/4'
'x+1/4,-y,z+1/4'
'x,y+1/2,z+1/2'
'-x,-y+1/2,-z+1/2'
'-x+1/4,-y+3/4,z+1/2'
'x+1/4,y+3/4,-z+1/2'
'x,-y+3/4,-z+3/4'
'-x,y+3/4,z+3/4'
'-x+1/4,y+1/2,-z+3/4'
'x+1/4,-y+1/2,z+3/4'
'x+1/2,y,z+1/2'
'-x+1/2,-y,-z+1/2'
'-x+3/4,-y+1/4,z+1/2'
'x+3/4,y+1/4,-z+1/2'
'x+1/2,-y+1/4,-z+3/4'
'-x+1/2,y+1/4,z+3/4'
'-x+3/4,y,-z+3/4'
'x+3/4,-y,z+3/4'
'x+1/2,y+1/2,z'
'-x+1/2,-y+1/2,-z'
'-x+3/4,-y+3/4,z'
'x+3/4,y+3/4,-z'
'x+1/2,-y+3/4,-z+1/4'
'-x+1/2,y+3/4,z+1/4'
'-x+3/4,y+1/2,-z+1/4'
'x+3/4,-y+1/2,z+1/4'
loop_
_atom_site_label
_atom_site_type_symbol
_atom_site_fract_x
_atom_site_fract_y
_atom_site_fract_z
Pm1 Pm 0.0000 0.0000 0.0000
Mg1 Mg 0.1250 0.2507 0.6250
Sn1 Sn 0.1250 0.1250 0.4473

## Pm6MgSn6 (PBE-GGA)

Data for an optimized crystal structure of Pm6MgSn6.

Structure (CIF):
```
data_Pm6MgSn6
_chemical_formula_sum 'Pm6 Mg1 Sn6'
_symmetry_space_group_name_H-M 'P 6/m m m'
_symmetry_Int_Tables_number 191
_symmetry_space_group_name_Hall '-P 6 2'
_cell_length_a 7.4494
_cell_length_b 7.4494
_cell_length_c 9.1070
_cell_angle_alpha 90.00
_cell_angle_beta 90.00
_cell_angle_gamma 120.00
loop_
_atom_site_label
_atom_site_type_symbol
_atom_site_fract_x
_atom_site_fract_y
_atom_site_fract_z
Pm1 Pm 0.0000 0.5000 0.2488
Mg1 Mg 0.0000 0.0000 0.5000
Sn1 Sn 0.0000 0.0000 0.1682
Sn2 Sn 0.3333 0.6667 0.0000
Sn3 Sn 0.3333 0.6667 0.5000
```

## Pm6MgSn3 (PBE-GGA)

Data for an optimized crystal structure of Pm6MgSn3.

Structure (CIF):
```
data_Pm6MgSn3
_chemical_formula_sum 'Pm24 Mg4 Sn12'
_symmetry_space_group_name_H-M 'C m c m'
_symmetry_Int_Tables_number 63
_symmetry_space_group_name_Hall '-C 2c 2'
_cell_length_a 11.8802
_cell_length_b 11.8089
_cell_length_c 8.8294
_cell_angle_alpha 90.00
_cell_angle_beta 90.00
_cell_angle_gamma 90.00
loop_
_atom_site_label
_atom_site_type_symbol
_atom_site_fract_x
_atom_site_fract_y
_atom_site_fract_z
Pm1 Pm 0.0000 0.1652 0.0058
Pm2 Pm 0.1741 0.5000 0.0000
Pm3 Pm 0.2484 0.2548 0.2500
Mg1 Mg 0.0000 0.3763 0.7500
Sn1 Sn 0.0000 0.3722 0.2500
Sn2 Sn 0.1308 0.0009 0.2500
```

## Pm2MgSn4 (PBE-GGA)

Data for an optimized crystal structure of Pm2MgSn4.

Structure (CIF):
```
data_Pm2MgSn4
_chemical_formula_sum 'Pm4 Mg2 Sn8'
_symmetry_space_group_name_H-M 'P 1 21/m 1'
_symmetry_Int_Tables_number 11
_symmetry_space_group_name_Hall '-P 2yb'
_cell_length_a 6.8856
_cell_length_b 6.1264
_cell_length_c 9.5829
_cell_angle_alpha 90.00
_cell_angle_beta 104.69
_cell_angle_gamma 90.00
loop_
_atom_site_label
_atom_site_type_symbol
_atom_site_fract_x
_atom_site_fract_y
_atom_site_fract_z
Pm1 Pm 0.1801 0.2500 0.0731
Pm2 Pm 0.2244 0.2500 0.4925
Mg1 Mg 0.2954 0.7500 0.3000
Sn1 Sn 0.0960 0.0076 0.7576
Sn2 Sn 0.3805 0.7500 0.0059
Sn3 Sn 0.4062 0.7500 0.6428
```

# Pm2MgSn, optimized geometry, DFT PBE-GGA
# Distance to the lowest polymorph of the same formula (meV/atom): 0
data_Pm2MgSn
_chemical_formula_sum 'Pm2 Mg1 Sn1'
_symmetry_space_group_name_H-M 'P 4/m m m'
_symmetry_Int_Tables_number 123
_symmetry_space_group_name_Hall '-P 4 2'
_cell_length_a 5.0097
_cell_length_b 5.0097
_cell_length_c 4.4628
_cell_angle_alpha 90.00
_cell_angle_beta 90.00
_cell_angle_gamma 90.00
loop_
_atom_site_label
_atom_site_type_symbol
_atom_site_fract_x
_atom_site_fract_y
_atom_site_fract_z
Pm1 Pm 0.0000 0.5000 0.0000
Mg1 Mg 0.0000 0.0000 0.5000
Sn1 Sn 0.5000 0.5000 0.5000

## Pm4Mg3Sn (PBE-GGA)

Data for an optimized crystal structure of Pm4Mg3Sn.

Structure (CIF):
```
data_Pm4Mg3Sn
_chemical_formula_sum 'Pm12 Mg9 Sn3'
_symmetry_space_group_name_H-M 'R -3 m'
_symmetry_Int_Tables_number 166
_symmetry_space_group_name_Hall '-R 3 2"'
_cell_length_a 5.4409
_cell_length_b 5.4409
_cell_length_c 26.7434
_cell_angle_alpha 90.00
_cell_angle_beta 90.00
_cell_angle_gamma 120.00
loop_
_atom_site_label
_atom_site_type_symbol
_atom_site_fract_x
_atom_site_fract_y
_atom_site_fract_z
Pm1 Pm 0.0000 0.0000 0.1240
Pm2 Pm 0.0000 0.0000 0.3742
Mg1 Mg 0.0000 0.0000 0.2458
Mg2 Mg 0.0000 0.0000 0.5000
Sn1 Sn 0.0000 0.0000 0.0000
```

| no. | DFT formation energy (meV/atom) | ρ (g/cm3) |
| --- | --- | --- |
| 1 | -210 | 6.04 |
| 2 | -190 | 5.79 |
| 3 | -612 | 7.03 |
| 4 | -440 | 5.14 |
| 5 | -186 | 6.41 |
| 6 | -269 | 5.54 |
| 7 | -294 | 6.10 |
| 8 | -508 | 6.71 |
| 9 | -432 | 6.70 |
| 10 | -463 | 6.42 |
| 11 | -285 | 5.61 |